No. 1
{"formula": "Cs3BrF6", "functional": "PBE", "state": "relaxed", "e_form_raw_ev_per_fu": -20.6, "mass_density_g_cm3": 3.61, "lattice_angstrom": [[4.705, 0.000, 0.000], [0.000, 7.668, 0.000], [-3.961, 0.000, 15.115]], "species": ["Cs", "Cs", "Cs", "Cs", "Cs", "Cs", "Br", "Br", "F", "F", "F", "F", "F", "F", "F", "F", "F", "F", "F", "F"], "frac_coords": [[0.000, 0.000, 0.000], [0.000, 0.500, 0.500], [0.217, 0.152, 0.735], [0.217, 0.348, 0.235], [0.783, 0.652, 0.765], [0.783, 0.848, 0.265], [0.500, 0.000, 0.500], [0.500, 0.500, 0.000], [0.175, 0.114, 0.418], [0.175, 0.386, 0.918], [0.220, 0.513, 0.686], [0.220, 0.987, 0.186], [0.405, 0.719, 0.937], [0.405, 0.781, 0.437], [0.595, 0.219, 0.563], [0.595, 0.281, 0.063], [0.780, 0.013, 0.814], [0.780, 0.487, 0.314], [0.825, 0.614, 0.082], [0.825, 0.886, 0.582]]}


No. 2
{"formula": "ScHgI3", "functional": "PBE", "state": "relaxed", "e_form_raw_ev_per_fu": -4.7, "mass_density_g_cm3": 4.77, "lattice_angstrom": [[7.373, 0.000, 0.000], [-1.579, 7.292, 0.000], [-0.017, -0.014, 8.103]], "species": ["Sc", "Sc", "Hg", "Hg", "I", "I", "I", "I", "I", "I"], "frac_coords": [[0.042, 0.044, 0.250], [0.958, 0.956, 0.750], [0.275, 0.300, 0.751], [0.725, 0.700, 0.249], [0.188, 0.838, 0.501], [0.188, 0.838, 0.999], [0.323, 0.346, 0.251], [0.677, 0.654, 0.749], [0.812, 0.162, 0.001], [0.812, 0.162, 0.499]]}